Density functional theory data (meta-GGA SCAN) for BaScAs2Se at its PBEsol-relaxed geometry.

Unit cell a=5.1049 b=5.1049 c=5.2020 alpha=90.00 beta=90.00 gamma=90.00
Element x y z (fractional)
As (0.0000, 0.5000, 0.0000)
As (0.5000, 0.0000, 0.0000)
Sc (0.0000, 0.0000, 0.0000)
Ba (0.5000, 0.5000, 0.5000)
Se (0.0000, 0.0000, 0.5000)

Calculated values
crystal system = tetragonal
size of the total moment = 0.00 μB/f.u.
space group = P4/mmm
raw formation energy = -1.019 eV per atom
E = -23.8682 eV/atom

=====

Density functional theory data (meta-GGA SCAN) for BaAs2Se at its PBEsol-relaxed geometry.

Unit cell a=3.8672 b=5.2028 c=5.8360 alpha=116.47 beta=109.35 gamma=90.00
Element x y z (fractional)
As (0.7866, 0.7866, 0.5733)
As (0.2134, 0.2134, 0.4267)
Ba (0.0000, 0.5000, 0.0000)
Se (0.5000, 0.0000, 0.0000)

Calculated values
crystal system = orthorhombic
size of the total moment = 0.00 μB/f.u.
space group = Immm
raw formation energy = -0.443 eV per atom
E = -25.4451 eV/atom

=====

Density functional theory data (meta-GGA SCAN) for BaAs2Se at its PBEsol-relaxed geometry.

Unit cell a=4.3469 b=4.3470 c=6.4262 alpha=109.57 beta=109.57 gamma=90.56
Element x y z (fractional)
Se (0.5000, 0.5000, 0.0000)
Ba (0.0000, 0.0000, 0.0000)
As (0.0000, 0.5000, 0.5000)
As (0.5000, 0.0000, 0.5000)

Calculated values
crystal system = orthorhombic
size of the total moment = 0.00 μB/f.u.
space group = Fmmm
raw formation energy = -0.466 eV per atom
E = -25.4683 eV/atom

=====

Density functional theory data (meta-GGA SCAN) for BaSiAsSe2 at its PBEsol-relaxed geometry.

Unit cell a=5.7739 b=5.7739 c=5.6688 alpha=90.00 beta=90.00 gamma=90.00
Element x y z (fractional)
Ba (0.0000, 0.0000, 0.0000)
Se (0.0000, 0.5000, 0.0000)
Se (0.5000, 0.0000, 0.0000)
Si (0.5000, 0.5000, 0.5000)
As (0.0000, 0.0000, 0.5000)

Calculated values
crystal system = tetragonal
size of the total moment = 0.00 μB/f.u.
space group = P4/mmm
raw formation energy = 1.124 eV per atom
E = -20.8584 eV/atom

=====

Density functional theory data (meta-GGA SCAN) for BaSnAs2Se at its PBEsol-relaxed geometry.

Unit cell a=5.6281 b=5.6281 c=5.7500 alpha=90.00 beta=90.00 gamma=90.00
Each line ends with the local moment (μB).
Element x y z (fractional)
Sn (0.5000, 0.5000, 0.5000)  -0.12
As (0.5000, 0.0000, 0.0000)  0.26
As (0.0000, 0.5000, 0.0000)  0.26
Se (0.0000, 0.0000, 0.5000)  0.35
Ba (0.0000, 0.0000, 0.0000)  0.01

Calculated values
crystal system = tetragonal
size of the total moment = 1.41 μB/f.u.
E above lowest polymorph = 1152 meV per atom
space group = P4/mmm
raw formation energy = 0.858 eV per atom
E = -26.3278 eV/atom

=====

Density functional theory data (meta-GGA SCAN) for BaSnAs2Se at its PBEsol-relaxed geometry.

Unit cell a=5.2183 b=5.2183 c=5.4081 alpha=90.00 beta=90.00 gamma=90.00
Element x y z (fractional)
As (0.5000, 0.0000, 0.0000)
As (0.0000, 0.5000, 0.0000)
Ba (0.5000, 0.5000, 0.5000)
Se (0.0000, 0.0000, 0.5000)
Sn (0.0000, 0.0000, 0.0000)

Calculated values
crystal system = tetragonal
size of the total moment = 0.00 μB/f.u.
E above lowest polymorph = 0 meV per atom
space group = P4/mmm
raw formation energy = -0.294 eV per atom
E = -27.4801 eV/atom

=====

Density functional theory data (meta-GGA SCAN) for BaSrAsSe2 at its PBEsol-relaxed geometry.

Unit cell a=5.4470 b=5.6359 c=5.6359 alpha=90.00 beta=90.00 gamma=90.00
Element x y z (fractional)
Se (0.0000, 0.5000, 0.0000)
Se (0.0000, 0.0000, 0.5000)
As (0.5000, 0.0000, 0.0000)
Sr (0.0000, 0.0000, 0.0000)
Ba (0.5000, 0.5000, 0.5000)

Calculated values
crystal system = tetragonal
size of the total moment = 0.00 μB/f.u.
space group = P4/mmm
raw formation energy = -0.784 eV per atom
E = -25.2188 eV/atom

=====

Density functional theory data (meta-GGA SCAN) for BaTaAs2Se at its PBEsol-relaxed geometry.

Unit cell a=5.0010 b=5.0010 c=5.1306 alpha=90.00 beta=90.00 gamma=90.00
Element x y z (fractional)
As (0.0000, 0.5000, 0.0000)
As (0.5000, 0.0000, 0.0000)
Ta (0.0000, 0.0000, 0.0000)
Se (0.0000, 0.0000, 0.5000)
Ba (0.5000, 0.5000, 0.5000)

Calculated values
crystal system = tetragonal
size of the total moment = 0.00 μB/f.u.
E above lowest polymorph = 0 meV per atom
space group = P4/mmm
raw formation energy = -0.794 eV per atom
E = -34.1126 eV/atom

=====

Question: The lowest E belongs to which entry?
Answer: BaTaAs2Se

=====

Question: E of number 5 (BaSnAs2Se)?
Answer: -26.3278 eV/atom

=====

Repeat the seventh record exactly.
Density functional theory data (meta-GGA SCAN) for BaSrAsSe2 at its PBEsol-relaxed geometry.

Unit cell a=5.4470 b=5.6359 c=5.6359 alpha=90.00 beta=90.00 gamma=90.00
Element x y z (fractional)
Se (0.0000, 0.5000, 0.0000)
Se (0.0000, 0.0000, 0.5000)
As (0.5000, 0.0000, 0.0000)
Sr (0.0000, 0.0000, 0.0000)
Ba (0.5000, 0.5000, 0.5000)

Calculated values
crystal system = tetragonal
size of the total moment = 0.00 μB/f.u.
space group = P4/mmm
raw formation energy = -0.784 eV per atom
E = -25.2188 eV/atom